Entry 1:
VASP calculation (PBE) on crystalline CaTcNi2 at its relaxed geometry.

Lattice parameters (Å, degrees): 5.081 5.081 5.081 136.22 136.22 63.65
Fractional coordinates of all 4 atoms:
Tc 0.500 0.500 0.000
Ni 0.250 0.750 0.500
Ni 0.000 0.000 0.000
Ca 0.750 0.250 0.500

Computed properties:
DOS at the Fermi energy: 3.3 states/eV per cell
energy: -5.49 eV per atom
V: 62.0 Å³ per cell
ρ: 6.8 Mg/m³
symmetry: I-4m2 (119)

---

Entry 2:
VASP calculation (PBE) on crystalline CaTc2Ni at its relaxed geometry.

Lattice parameters (Å, degrees): 9.467 9.467 9.467 17.04 17.04 17.04
Fractional coordinates of all 4 atoms:
Ni 0.750 0.750 0.750
Ca 0.250 0.250 0.250
Tc 0.489 0.489 0.489
Tc 0.011 0.011 0.011

Computed properties:
DOS at the Fermi energy: 6.1 states/eV per cell
energy: -6.46 eV per atom
V: 63.6 Å³ per cell
ρ: 7.7 Mg/m³
symmetry: R-3m (166)

---

Entry 3:
VASP calculation (PBE) on crystalline Ca3TcNi at its relaxed geometry.

Lattice parameters (Å, degrees): 5.284 5.284 5.284 90.00 90.00 90.00
Fractional coordinates of all 5 atoms:
Ni 0.000 0.000 0.000
Ca 0.000 0.500 0.000
Ca 0.500 0.000 0.000
Ca 0.000 0.000 0.500
Tc 0.500 0.500 0.500

Computed properties:
DOS at the Fermi energy: 5.2 states/eV per cell
energy: -3.73 eV per atom
V: 147.5 Å³ per cell
ρ: 3.1 Mg/m³
symmetry: Pm-3m (221)

---

Entry 4:
VASP calculation (PBE) on crystalline CaTc2Ni at its relaxed geometry.

Lattice parameters (Å, degrees): 3.878 3.878 10.197 79.04 79.04 90.00
Fractional coordinates of all 8 atoms:
Ca 0.500 0.500 0.000
Ca 0.250 0.750 0.500
Tc 0.875 0.292 0.750
Tc 0.708 0.625 0.250
Tc 0.375 0.958 0.750
Tc 0.042 0.125 0.250
Ni 0.000 0.000 0.000
Ni 0.750 0.250 0.500

Computed properties:
DOS at the Fermi energy: 13.1 states/eV per cell
energy: -6.46 eV per atom
V: 147.7 Å³ per cell
ρ: 6.6 Mg/m³
symmetry: I-42d (122)

---

Entry 5:
VASP calculation (PBE) on crystalline Ca2TcNi at its relaxed geometry.

Lattice parameters (Å, degrees): 4.839 4.839 4.839 60.00 60.00 60.00
Fractional coordinates of all 4 atoms:
Tc 0.750 0.750 0.750
Ca 0.000 0.000 0.000
Ca 0.250 0.250 0.250
Ni 0.500 0.500 0.500

Computed properties:
DOS at the Fermi energy: 2.8 states/eV per cell
energy: -4.45 eV per atom
V: 80.1 Å³ per cell
ρ: 4.9 Mg/m³
symmetry: F-43m (216)

---

Entry 6:
VASP calculation (PBE) on crystalline CaTcNi2 at its relaxed geometry.

Lattice parameters (Å, degrees): 4.669 4.669 8.499 74.06 74.06 90.00
Fractional coordinates of all 8 atoms:
Ni 0.375 0.168 0.750
Ni 0.832 0.125 0.250
Ni 0.875 0.082 0.750
Ni 0.918 0.625 0.250
Ca 0.250 0.750 0.500
Ca 0.500 0.500 0.000
Tc 0.000 0.000 0.000
Tc 0.750 0.250 0.500

Computed properties:
DOS at the Fermi energy: 6.6 states/eV per cell
energy: -5.35 eV per atom
V: 170.7 Å³ per cell
ρ: 5.0 Mg/m³
symmetry: I-42d (122)

---

Entry 7:
VASP calculation (PBE) on crystalline CaTcNi2 at its relaxed geometry.

Lattice parameters (Å, degrees): 2.750 3.539 6.517 90.00 90.00 90.00
Fractional coordinates of all 4 atoms:
Ni 0.000 0.000 0.438
Ni 0.000 0.000 0.062
Ca 0.500 0.500 0.750
Tc 0.500 0.500 0.250

Computed properties:
DOS at the Fermi energy: 3.8 states/eV per cell
energy: -5.83 eV per atom
V: 63.4 Å³ per cell
ρ: 6.7 Mg/m³
symmetry: Pmmm (47)

---

Entry 8:
VASP calculation (PBE) on crystalline CaTc2Ni at its relaxed geometry.

Lattice parameters (Å, degrees): 3.109 3.109 7.137 90.00 90.00 90.00
Fractional coordinates of all 4 atoms:
Tc 0.000 0.000 0.003
Tc 0.500 0.500 0.185
Ni 0.500 0.500 0.801
Ca 0.000 0.000 0.511

Computed properties:
DOS at the Fermi energy: 5.1 states/eV per cell
energy: -6.89 eV per atom
V: 69.0 Å³ per cell
ρ: 7.1 Mg/m³
symmetry: P4mm (99)

---

Entry 9:
VASP calculation (PBE) on crystalline Ca3TcNi at its relaxed geometry.

Lattice parameters (Å, degrees): 5.287 5.287 5.287 90.00 90.00 90.00
Fractional coordinates of all 5 atoms:
Ca 0.000 0.500 0.000
Ca 0.000 0.000 0.500
Ca 0.500 0.000 0.000
Ni 0.500 0.500 0.500
Tc 0.000 0.000 0.000

Computed properties:
DOS at the Fermi energy: 6.2 states/eV per cell
energy: -3.53 eV per atom
V: 147.8 Å³ per cell
ρ: 3.1 Mg/m³
symmetry: Pm-3m (221)

---

Entry 10:
VASP calculation (PBE) on crystalline CaTcNi2 at its relaxed geometry.

Lattice parameters (Å, degrees): 4.390 4.390 4.390 60.00 60.00 60.00
Fractional coordinates of all 4 atoms:
Ca 0.500 0.500 0.500
Ni 0.000 0.000 0.000
Ni 0.750 0.750 0.750
Tc 0.250 0.250 0.250

Computed properties:
DOS at the Fermi energy: 6.4 states/eV per cell
energy: -5.42 eV per atom
V: 59.8 Å³ per cell
ρ: 7.1 Mg/m³
symmetry: F-43m (216)

---

Entry 11:
VASP calculation (PBE) on crystalline CaTc2Ni at its relaxed geometry.

Lattice parameters (Å, degrees): 5.080 5.483 2.642 81.16 79.14 114.70
Fractional coordinates of all 4 atoms:
Ni 0.500 0.500 0.000
Tc 0.000 0.000 0.000
Tc 0.500 0.000 0.500
Ca 0.000 0.500 0.500

Computed properties:
DOS at the Fermi energy: 4.8 states/eV per cell
energy: -6.62 eV per atom
V: 63.4 Å³ per cell
ρ: 7.7 Mg/m³
symmetry: C2/m (12)

---

Entry 12:
VASP calculation (PBE) on crystalline CaTc2Ni at its relaxed geometry.

Lattice parameters (Å, degrees): 5.363 5.363 2.583 90.00 90.00 121.31
Fractional coordinates of all 4 atoms:
Ca 0.500 0.000 0.500
Tc 0.500 0.500 0.000
Tc 0.000 0.000 0.000
Ni 0.000 0.500 0.500

Computed properties:
DOS at the Fermi energy: 5.2 states/eV per cell
energy: -6.56 eV per atom
V: 63.5 Å³ per cell
ρ: 7.7 Mg/m³
symmetry: Cmmm (65)

---

Entry 13:
VASP calculation (PBE) on crystalline Ca2TcNi at its relaxed geometry.

Lattice parameters (Å, degrees): 5.288 5.288 5.288 134.59 128.03 71.46
Fractional coordinates of all 4 atoms:
Ca 0.515 0.515 0.000
Ca 0.985 0.985 0.000
Tc 0.250 0.750 0.500
Ni 0.750 0.250 0.500

Computed properties:
DOS at the Fermi energy: 5.3 states/eV per cell
energy: -4.43 eV per atom
V: 81.2 Å³ per cell
ρ: 4.8 Mg/m³
symmetry: Immm (71)

---

Entry 14:
VASP calculation (PBE) on crystalline CaTc2Ni at its relaxed geometry.

Lattice parameters (Å, degrees): 5.207 5.207 5.207 144.03 124.46 67.97
Fractional coordinates of all 4 atoms:
Ni 0.221 0.721 0.500
Ca 0.496 0.496 0.000
Tc 0.785 0.285 0.500
Tc 0.998 0.998 0.000

Computed properties:
DOS at the Fermi energy: 3.4 states/eV per cell
energy: -6.64 eV per atom
V: 67.4 Å³ per cell
ρ: 7.3 Mg/m³
symmetry: Imm2 (44)

---

Entry 15:
VASP calculation (PBE) on crystalline CaTc2Ni at its relaxed geometry.

Lattice parameters (Å, degrees): 3.199 3.199 6.844 90.00 90.00 90.00
Fractional coordinates of all 4 atoms:
Tc 0.000 0.000 0.580
Tc 0.000 0.000 0.920
Ni 0.500 0.500 0.750
Ca 0.500 0.500 0.250

Computed properties:
DOS at the Fermi energy: 5.4 states/eV per cell
energy: -6.68 eV per atom
V: 70.1 Å³ per cell
ρ: 7.0 Mg/m³
symmetry: P4/mmm (123)